Below is a relaxed Cs2SmNi3F12 crystal, with properties calculated at the PBE+U level.

Cell lengths 7.569, 7.569, 7.569 Å; angles 58.95, 58.95, 58.95 degrees
Fractional positions:
Cs 0.112 0.112 0.112
Cs 0.888 0.888 0.888
Sm 0.500 0.500 0.500
Ni 0.000 0.500 0.500
Ni 0.500 0.000 0.500
Ni 0.500 0.500 0.000
F 0.135 0.594 0.594
F 0.201 0.201 0.585
F 0.201 0.585 0.201
F 0.406 0.406 0.865
F 0.406 0.865 0.406
F 0.415 0.799 0.799
F 0.585 0.201 0.201
F 0.594 0.135 0.594
F 0.594 0.594 0.135
F 0.799 0.415 0.799
F 0.799 0.799 0.415
F 0.865 0.406 0.406

Computed properties:
Total DFT energy (no corrections) in eV per atom: -4.698
Symmetry: R-3m
DOS at the Fermi energy in states/eV/f.u.: 2.31